[1]
Material: Tc3IrO
Method: DFT, PBE
State: relaxed

Formation energy from raw total energies in eV per atom: -0.001
Offset from the most stable computed form in eV/atom: 0.0000
Fermi-level density of states in states/eV per cell: 3.3

CIF file:
```
data_Tc3IrO
_chemical_formula_sum 'Tc3 Ir1 O1'
_symmetry_space_group_name_H-M 'P 1'
_symmetry_Int_Tables_number 1
_symmetry_space_group_name_Hall 'P 1'
_cell_length_a 4.040
_cell_length_b 4.040
_cell_length_c 4.040
_cell_angle_alpha 90.00
_cell_angle_beta 90.00
_cell_angle_gamma 90.00
loop_
_atom_site_label
_atom_site_type_symbol
_atom_site_fract_x
_atom_site_fract_y
_atom_site_fract_z
_atom_site_occupancy
Tc1 Tc 0.000 0.000 0.500 1
Tc2 Tc 0.000 0.500 0.000 1
Tc3 Tc 0.500 0.000 0.000 1
Ir1 Ir 0.500 0.500 0.500 1
O1 O 0.000 0.000 0.000 1
```

---

[2]
Material: Tc2IrO
Method: DFT, PBE
State: relaxed

Formation energy from raw total energies in eV per atom: 0.235
Fermi-level density of states in states/eV per cell: 11.7

CIF file:
```
data_Tc2IrO
_chemical_formula_sum 'Tc8 Ir4 O4'
_symmetry_space_group_name_H-M 'P 1'
_symmetry_Int_Tables_number 1
_symmetry_space_group_name_Hall 'P 1'
_cell_length_a 4.804
_cell_length_b 4.804
_cell_length_c 11.129
_cell_angle_alpha 90.00
_cell_angle_beta 90.00
_cell_angle_gamma 90.00
loop_
_atom_site_label
_atom_site_type_symbol
_atom_site_fract_x
_atom_site_fract_y
_atom_site_fract_z
_atom_site_occupancy
Tc1 Tc 0.166 0.250 0.125 1
Tc2 Tc 0.250 0.666 0.375 1
Tc3 Tc 0.250 0.834 0.875 1
Tc4 Tc 0.334 0.250 0.625 1
Tc5 Tc 0.666 0.750 0.625 1
Tc6 Tc 0.750 0.166 0.875 1
Tc7 Tc 0.750 0.334 0.375 1
Tc8 Tc 0.834 0.750 0.125 1
Ir1 Ir 0.000 0.000 0.500 1
Ir2 Ir 0.000 0.500 0.750 1
Ir3 Ir 0.500 0.000 0.250 1
Ir4 Ir 0.500 0.500 0.000 1
O1 O 0.000 0.000 0.000 1
O2 O 0.000 0.500 0.250 1
O3 O 0.500 0.000 0.750 1
O4 O 0.500 0.500 0.500 1
```

---

[3]
Material: TcIrO6
Method: DFT, PBE
State: relaxed

Formation energy from raw total energies in eV per atom: -0.859
Fermi-level density of states in states/eV per cell: 6.0

CIF file:
```
data_TcIrO6
_chemical_formula_sum 'Tc1 Ir1 O6'
_symmetry_space_group_name_H-M 'P 1'
_symmetry_Int_Tables_number 1
_symmetry_space_group_name_Hall 'P 1'
_cell_length_a 5.203
_cell_length_b 5.203
_cell_length_c 5.301
_cell_angle_alpha 89.96
_cell_angle_beta 60.61
_cell_angle_gamma 60.00
loop_
_atom_site_label
_atom_site_type_symbol
_atom_site_fract_x
_atom_site_fract_y
_atom_site_fract_z
_atom_site_occupancy
Tc1 Tc 0.000 0.000 0.000 1
Ir1 Ir 0.000 0.500 0.500 1
O1 O 0.075 0.171 0.250 1
O2 O 0.078 0.249 0.752 1
O3 O 0.496 0.675 0.754 1
O4 O 0.504 0.325 0.246 1
O5 O 0.922 0.751 0.248 1
O6 O 0.925 0.829 0.750 1
```

---

[4]
Material: TcIr2O6
Method: DFT, PBE
State: relaxed

Formation energy from raw total energies in eV per atom: -0.898
Fermi-level density of states in states/eV per cell: 9.9

CIF file:
```
data_TcIr2O6
_chemical_formula_sum 'Tc3 Ir6 O18'
_symmetry_space_group_name_H-M 'P 1'
_symmetry_Int_Tables_number 1
_symmetry_space_group_name_Hall 'P 1'
_cell_length_a 8.615
_cell_length_b 8.615
_cell_length_c 4.582
_cell_angle_alpha 90.00
_cell_angle_beta 90.00
_cell_angle_gamma 120.00
loop_
_atom_site_label
_atom_site_type_symbol
_atom_site_fract_x
_atom_site_fract_y
_atom_site_fract_z
_atom_site_occupancy
Tc1 Tc 0.000 0.000 0.000 1
Tc2 Tc 0.333 0.667 0.494 1
Tc3 Tc 0.667 0.333 0.506 1
Ir1 Ir 0.000 0.343 0.000 1
Ir2 Ir 0.000 0.676 0.500 1
Ir3 Ir 0.324 0.324 0.500 1
Ir4 Ir 0.343 0.000 0.000 1
Ir5 Ir 0.657 0.657 0.000 1
Ir6 Ir 0.676 0.000 0.500 1
O1 O 0.106 0.218 0.244 1
O2 O 0.113 0.894 0.244 1
O3 O 0.116 0.567 0.244 1
O4 O 0.216 0.448 0.738 1
O5 O 0.218 0.106 0.756 1
O6 O 0.232 0.784 0.738 1
O7 O 0.433 0.549 0.244 1
O8 O 0.448 0.216 0.262 1
O9 O 0.451 0.884 0.244 1
O10 O 0.549 0.433 0.756 1
O11 O 0.552 0.768 0.738 1
O12 O 0.567 0.116 0.756 1
O13 O 0.768 0.552 0.262 1
O14 O 0.782 0.887 0.244 1
O15 O 0.784 0.232 0.262 1
O16 O 0.884 0.451 0.756 1
O17 O 0.887 0.782 0.756 1
O18 O 0.894 0.113 0.756 1
```